--- one ---
LaLuNi2 | GGA-PBE | optimized geometry

a b c (Å): 3.406 3.406 6.884
angles (deg): 90.00 90.00 90.00
Positions (direct):
Lu  0.500  0.500  0.000
Ni  0.000  0.000  0.218
La  0.500  0.500  0.500
Ni  0.000  0.000  0.782

**Crystal system**: tetragonal


--- two ---
LaLuNi2 | GGA-PBE | optimized geometry

a b c (Å): 4.853 4.853 4.853
angles (deg): 60.00 60.00 60.00
Positions (direct):
Lu  0.000  0.000  0.000
Ni  0.250  0.250  0.250
La  0.500  0.500  0.500
Ni  0.750  0.750  0.750

**Crystal system**: cubic


Winner for stability: one